DFT (PBE with a Hubbard U) results for CuMoNO2 after structural relaxation.

```
5
Lattice="3.881 0.000 0.000 0.000 3.881 0.000 0.000 0.000 3.989" Properties=species:S:1:pos:R:3 pbc="T T T"
Mo 0.000 0.000 0.000
O 0.000 1.940 0.000
O 1.940 0.000 0.000
Cu 1.940 1.940 1.994
N 0.000 0.000 1.994
```

Calculated values
Its density of states at the Fermi level is 3.720 states/eV/cell. The total energy comes out at -6.0943 eV/atom.